(1)
Density functional theory data (meta-GGA SCAN) for a crystal of InTeIr relaxed with PBEsol.

## Properties
theoretical density	10.627	g/cm3
space group	P3m1
M_tot	0.000	μB per formula unit
formation energy from raw total energies	-23	meV/atom

POSCAR file:
```
InTeIr
1.0
-3.124 1.994 -0.506
-0.195 -3.715 0.390
-0.509 0.609 5.549
In Ir Te
1 1 1
direct
0.000 0.000 0.951
0.333 0.667 0.651
0.667 0.333 0.399
```


(2)
Density functional theory data (meta-GGA SCAN) for a crystal of InTeIr2 relaxed with PBEsol.

## Properties
theoretical density	14.659	g/cm3
space group	C2/m
M_tot	0.000	μB per formula unit
formation energy from raw total energies	315	meV/atom

POSCAR file:
```
InTeIr2
1.0
3.166 0.000 0.000
-1.583 4.270 0.013
0.000 -1.202 5.249
In Ir Te
1 2 1
direct
0.000 0.000 0.500
0.750 0.499 0.760
0.250 0.501 0.240
0.500 0.000 0.000
```


(3)
Density functional theory data (meta-GGA SCAN) for a crystal of InTe2Ir relaxed with PBEsol.

## Properties
theoretical density	9.610	g/cm3
space group	R3m
M_tot	0.000	μB per formula unit
formation energy from raw total energies	-47	meV/atom

POSCAR file:
```
InTe2Ir
1.0
3.871 0.000 0.000
1.935 3.352 0.000
1.935 1.117 7.488
In Ir Te
1 1 2
direct
0.510 0.510 0.471
0.254 0.254 0.237
0.978 0.978 0.067
0.758 0.758 0.725
```


(4)
Density functional theory data (meta-GGA SCAN) for a crystal of Ti3InIr relaxed with PBEsol.

## Properties
theoretical density	6.867	g/cm3
space group	Pm-3m
M_tot	0.059	μB per formula unit
energy relative to the elements	34.57	kcal/mol of atoms

POSCAR file:
```
Ti3InIr
1.0
4.777 0.000 0.000
0.000 4.777 0.000
0.000 0.000 4.777
Ir Ti In
1 3 1
direct
0.500 0.500 0.500
0.000 0.500 0.000
0.000 0.000 0.500
0.500 0.000 0.000
0.000 0.000 0.000
```


(5)
Density functional theory data (meta-GGA SCAN) for a crystal of TlInIr3 relaxed with PBEsol.

## Properties
theoretical density	13.351	g/cm3
space group	Pm-3m
M_tot	0.005	μB per formula unit
energy relative to the elements	47.87	kcal/mol of atoms

POSCAR file:
```
TlInIr3
1.0
4.812 0.000 0.000
0.000 4.812 0.000
0.000 0.000 4.812
Tl Ir In
1 3 1
direct
0.500 0.500 0.500
0.000 0.500 0.000
0.000 0.000 0.500
0.500 0.000 0.000
0.000 0.000 0.000
```


(6)
Density functional theory data (meta-GGA SCAN) for a crystal of In2IrW relaxed with PBEsol.

## Properties
theoretical density	14.562	g/cm3
space group	C2/m
M_tot	0.001	μB per formula unit
energy relative to the elements	10.40	kcal/mol of atoms

POSCAR file:
```
In2IrW
1.0
2.927 0.000 0.000
-1.464 4.660 0.004
0.000 -1.044 5.062
In Ir W
2 1 1
direct
0.746 0.493 0.746
0.254 0.507 0.254
0.000 0.000 0.500
0.500 0.000 0.000
```


(7)
Density functional theory data (meta-GGA SCAN) for a crystal of In2IrW relaxed with PBEsol.

## Properties
theoretical density	14.416	g/cm3
space group	C2/m
M_tot	0.000	μB per formula unit
energy relative to the elements	11.72	kcal/mol of atoms

POSCAR file:
```
In2IrW
1.0
-0.554 -1.383 -2.476
-1.124 -4.166 2.933
-3.586 4.133 0.004
In Ir W
2 1 1
direct
0.000 0.000 0.500
0.500 0.500 0.500
0.500 0.000 0.000
0.000 0.500 0.000
```


(8)
Density functional theory data (meta-GGA SCAN) for a crystal of Y2In8Ir relaxed with PBEsol.

## Properties
theoretical density	8.536	g/cm3
space group	P4/mmm
M_tot	0.000	μB per formula unit
energy relative to the elements	-11.94	kcal/mol of atoms

POSCAR file:
```
Y2In8Ir
1.0
4.583 0.000 0.000
0.000 4.583 0.000
0.000 0.000 11.932
In Ir Y
8 1 2
direct
0.500 0.000 0.000
0.000 0.500 0.000
0.500 0.000 0.625
0.000 0.500 0.625
0.500 0.000 0.375
0.000 0.500 0.375
0.500 0.500 0.810
0.500 0.500 0.190
0.000 0.000 0.500
0.000 0.000 0.808
0.000 0.000 0.192
```